# 1
TaSi2Au after structural relaxation, computed with GGA-PBE.

Calculated values
D(E_F)	1.4	states/eV per cell
magnetic moment	0.0000	μB/atom
total energy	-0.2349	Ha/atom

Geometry as extended XYZ:
```
4
Lattice="2.980 -4.316 0.000 2.980 4.316 0.000 -1.431 0.000 2.562" Properties=species:S:1:pos:R:3 pbc="T T T"
Ta 0.000 0.000 0.000
Si 0.774 2.158 1.281
Si 0.774 -2.158 1.281
Au 2.980 0.000 0.000
```

# 2
TaSiAu2 after structural relaxation, computed with GGA-PBE.

Calculated values
D(E_F)	5.2	states/eV per cell
magnetic moment	0.0000	μB/atom
total energy	-0.2128	Ha/atom

Geometry as extended XYZ:
```
8
Lattice="-1.894 1.894 10.147 1.894 -1.894 10.147 1.894 1.894 -10.147" Properties=species:S:1:pos:R:3 pbc="T T T"
Ta 0.000 0.000 0.000
Ta 0.000 1.894 5.074
Si 1.894 0.000 5.074
Si 0.000 0.000 10.147
Au 0.947 -0.937 7.611
Au 0.957 0.947 2.537
Au 0.947 2.830 -2.537
Au 0.937 0.947 12.684
```

# 3
TaSi2Au after structural relaxation, computed with GGA-PBE.

Calculated values
D(E_F)	1.3	states/eV per cell
magnetic moment	0.0000	μB/atom
total energy	-0.2308	Ha/atom

Geometry as extended XYZ:
```
4
Lattice="2.786 0.000 0.000 0.000 2.786 0.000 0.000 0.000 8.536" Properties=species:S:1:pos:R:3 pbc="T T T"
Ta 0.000 0.000 0.000
Si 1.393 1.393 1.985
Si 1.393 1.393 6.551
Au 0.000 0.000 4.268
```

# 4
TaSi2Au after structural relaxation, computed with GGA-PBE.

Calculated values
D(E_F)	4.8	states/eV per cell
magnetic moment	0.0000	μB/atom
total energy	-0.2351	Ha/atom

Geometry as extended XYZ:
```
4
Lattice="1.481 0.855 8.589 -1.481 0.855 8.589 0.000 -1.710 8.589" Properties=species:S:1:pos:R:3 pbc="T T T"
Ta 0.000 0.000 0.000
Si 0.000 0.000 6.475
Si 0.000 0.000 19.292
Au 0.000 0.000 12.883
```

# 5
TaSi2Au after structural relaxation, computed with GGA-PBE.

Calculated values
D(E_F)	1.8	states/eV per cell
magnetic moment	0.0000	μB/atom
total energy	-0.2293	Ha/atom

Geometry as extended XYZ:
```
4
Lattice="0.000 3.171 3.171 3.171 0.000 3.171 3.171 3.171 0.000" Properties=species:S:1:pos:R:3 pbc="T T T"
Ta 0.000 0.000 0.000
Si 1.585 1.585 1.585
Si 4.756 4.756 4.756
Au 3.171 3.171 3.171
```

# 6
TaSi2Au after structural relaxation, computed with GGA-PBE.

Calculated values
D(E_F)	1.6	states/eV per cell
magnetic moment	0.0000	μB/atom
total energy	-0.2422	Ha/atom

Geometry as extended XYZ:
```
4
Lattice="3.481 0.000 0.000 0.000 3.481 0.000 0.000 0.000 5.333" Properties=species:S:1:pos:R:3 pbc="T T T"
Ta 0.000 0.000 0.000
Si 0.000 0.000 2.752
Si 1.740 1.740 4.337
Au 1.740 1.740 1.740
```

# 7
Ta2SiAu after structural relaxation, computed with GGA-PBE.

Calculated values
D(E_F)	1.5	states/eV per cell
magnetic moment	0.0000	μB/atom
total energy	-0.3042	Ha/atom

Geometry as extended XYZ:
```
4
Lattice="1.902 -2.221 0.000 1.902 2.221 0.000 0.000 0.000 7.857" Properties=species:S:1:pos:R:3 pbc="T T T"
Ta 0.000 0.000 1.772
Ta 0.000 0.000 6.085
Si 1.902 0.000 0.000
Au 1.902 0.000 3.928
```

# 8
TaSiAu after structural relaxation, computed with GGA-PBE.

Calculated values
D(E_F)	0.1	states/eV per cell
magnetic moment	0.0000	μB/atom
total energy	-0.2516	Ha/atom

Geometry as extended XYZ:
```
3
Lattice="0.000 2.255 6.224 1.793 0.000 6.224 1.793 2.255 0.000" Properties=species:S:1:pos:R:3 pbc="T T T"
Ta 0.000 0.000 0.000
Si 1.793 2.255 4.298
Au 1.793 2.255 8.431
```

# 9
Ta2SiAu after structural relaxation, computed with GGA-PBE.

Calculated values
D(E_F)	2.2	states/eV per cell
magnetic moment	0.0000	μB/atom
total energy	-0.3049	Ha/atom

Geometry as extended XYZ:
```
4
Lattice="3.309 0.000 0.000 0.000 3.786 0.000 -1.643 0.000 5.444" Properties=species:S:1:pos:R:3 pbc="T T T"
Ta 0.000 0.000 0.000
Ta 0.000 1.893 3.841
Si 1.655 0.000 2.836
Au 1.656 1.893 1.282
```

# 10
TaSiAu after structural relaxation, computed with GGA-PBE.

Calculated values
D(E_F)	1.4	states/eV per cell
magnetic moment	0.0000	μB/atom
total energy	-0.2519	Ha/atom

Geometry as extended XYZ:
```
3
Lattice="4.424 0.000 0.000 -2.212 3.832 0.000 0.000 0.000 2.884" Properties=species:S:1:pos:R:3 pbc="T T T"
Ta 0.000 0.000 0.000
Si 0.000 2.554 1.442
Au 2.212 1.277 1.442
```

# 11
TaSiAu after structural relaxation, computed with GGA-PBE.

Calculated values
D(E_F)	1.4	states/eV per cell
magnetic moment	0.0000	μB/atom
total energy	-0.2497	Ha/atom

Geometry as extended XYZ:
```
3
Lattice="-1.444 1.444 5.992 1.444 -1.444 5.992 1.444 1.444 -5.992" Properties=species:S:1:pos:R:3 pbc="T T T"
Ta 0.000 0.000 0.000
Si 0.000 0.000 4.120
Au 0.000 0.000 8.083
```

# 12
TaSiAu2 after structural relaxation, computed with GGA-PBE.

Calculated values
D(E_F)	2.2	states/eV per cell
magnetic moment	0.0000	μB/atom
total energy	-0.2186	Ha/atom

Geometry as extended XYZ:
```
4
Lattice="4.841 -1.469 0.000 4.841 1.469 0.000 -1.853 0.000 4.799" Properties=species:S:1:pos:R:3 pbc="T T T"
Ta 0.000 0.000 0.000
Si 0.793 0.000 4.312
Au 4.273 0.000 2.579
Au 6.864 0.000 1.654
```

- Which value of D(E_F) does entry 9 give?
  2.2 states/eV per cell